(1)
The following is a DFT calculation (PBE) of a geometry-optimized BaY2Co2 structure.

Geometry as POSCAR:
```
BaY2Co2
1.0
4.6924 0.0000 0.0000
0.0000 4.6924 0.0000
2.3462 2.3462 5.7493
Y Co Ba
2 2 1
direct
0.2500 0.7500 0.5000
0.7500 0.2500 0.5000
0.3976 0.3976 0.2047
0.6024 0.6024 0.7953
0.0000 0.0000 0.0000
```

Summary:
Its space group is No. 139. The total magnetic moment is 0.00 μB per formula unit. The total energy is -5.66 eV/atom. As for the formation energy from the elements: 14.8 kJ/mol of atoms. The value obtained for the density is 5.680 g/cm3.

---

(2)
The following is a DFT calculation (PBE) of a geometry-optimized K2Cu2SbSe4 structure.

Geometry as POSCAR:
```
K2Cu2SbSe4
1.0
4.0363 0.0000 0.0000
-2.0181 7.6978 -0.0943
0.0000 -2.7691 7.4193
Se K Cu Sb
4 2 2 1
direct
0.8002 0.6004 0.8201
0.5264 0.0529 0.7674
0.1998 0.3996 0.1799
0.4736 0.9471 0.2326
0.1333 0.2666 0.5522
0.8667 0.7334 0.4478
0.6930 0.3861 0.9911
0.3070 0.6139 0.0089
0.0000 0.0000 0.0000
```

Summary:
Its space group is No. 12. As for the uncorrected formation energy: -0.59 eV/atom. The total magnetic moment is 0.00 μB per formula unit. The total energy is -3.75 eV/atom. The value obtained for the density is 4.652 g/cm3.

---

(3)
The following is a DFT calculation (PBE) of a geometry-optimized KMg2InS4 structure.

Geometry as POSCAR:
```
KMg2InS4
1.0
3.8212 0.0000 0.0000
-1.9106 6.9085 0.0000
0.0000 0.0000 14.1787
Mg S In K
4 8 2 2
direct
0.6218 0.2435 0.0346
0.6218 0.2435 0.4654
0.3782 0.7565 0.9654
0.3782 0.7565 0.5346
0.2388 0.4776 0.1012
0.2388 0.4776 0.3988
0.0000 0.0000 0.5000
0.7612 0.5224 0.6012
0.0000 0.0000 0.0000
0.5386 0.0772 0.2500
0.7612 0.5224 0.8988
0.4614 0.9228 0.7500
0.8512 0.7024 0.7500
0.1488 0.2976 0.2500
0.1317 0.2633 0.7500
0.8683 0.7367 0.2500
```

Summary:
Its space group is No. 63. As for the uncorrected formation energy: -1.04 eV/atom. The total magnetic moment is 0.00 μB per formula unit. The total energy is -3.99 eV/atom. The value obtained for the density is 2.935 g/cm3.

---

(4)
The following is a DFT calculation (PBE) of a geometry-optimized ThBiSe structure.

Geometry as POSCAR:
```
ThBiSe
1.0
4.3000 0.0000 -0.8967
-0.1870 4.2959 -0.8967
-0.2919 -0.3049 9.3584
Th Se Bi
2 2 2
direct
0.6486 0.6486 0.2972
0.3514 0.3514 0.7028
0.8168 0.8168 0.6335
0.1832 0.1832 0.3665
0.0000 0.5000 0.0000
0.5000 0.0000 0.0000
```

Summary:
Its space group is No. 139. As for the uncorrected formation energy: -1.07 eV/atom. The total magnetic moment is 0.00 μB per formula unit. The total energy is -6.00 eV/atom. The value obtained for the density is 10.127 g/cm3.

---

(5)
The following is a DFT calculation (PBE) of a geometry-optimized Cs2ZnIn2Au2 structure.

Geometry as POSCAR:
```
Cs2ZnIn2Au2
1.0
5.2526 0.0000 0.0000
2.6263 7.5432 -1.6132
2.6263 1.1437 6.1031
Au In Cs Zn
2 2 2 1
direct
0.1992 0.6774 0.9242
0.8008 0.3226 0.0758
0.1914 0.3996 0.2177
0.8086 0.6004 0.7823
0.5780 0.2028 0.6412
0.4220 0.7972 0.3588
0.0000 0.0000 0.0000
```

Summary:
Its space group is No. 12. The total magnetic moment is 0.00 μB per formula unit. The total energy is -2.33 eV/atom. As for the formation energy from the elements: -17.9 kJ/mol of atoms. The value obtained for the density is 6.304 g/cm3.

---

(6)
The following is a DFT calculation (PBE) of a geometry-optimized KZnCu2 structure.

Geometry as POSCAR:
```
KZnCu2
1.0
-7.1231 -5.6971 -3.3627
-4.9171 -6.7623 -4.9596
-5.3856 -7.7724 -2.2556
Cu Zn K
2 1 1
direct
0.0141 0.0141 0.0141
0.4859 0.4859 0.4859
0.7500 0.7500 0.7500
0.2500 0.2500 0.2500
```

Summary:
Its space group is No. 166. The total magnetic moment is 0.00 μB per formula unit. The total energy is -2.15 eV/atom. As for the formation energy from the elements: 47.2 kJ/mol of atoms. The value obtained for the density is 5.424 g/cm3.

---

(7)
The following is a DFT calculation (PBE) of a geometry-optimized Er2Ge3Pd structure.

Geometry as POSCAR:
```
Er2Ge3Pd
1.0
3.9571 0.0000 1.6572
1.6862 5.2553 1.5267
-0.0657 0.1009 5.7098
Er Ge Pd
2 3 1
direct
0.4360 0.8096 0.3183
0.5546 0.1837 0.7071
0.8634 0.5983 0.6749
0.1530 0.7911 0.9028
0.8257 0.2230 0.1256
0.1672 0.3944 0.2712
```

Summary:
Its space group is No. 8. The total magnetic moment is 0.00 μB per formula unit. The total energy is -5.43 eV/atom. As for the formation energy from the elements: -71.4 kJ/mol of atoms. The value obtained for the density is 9.195 g/cm3.

---

(8)
The following is a DFT calculation (PBE) of a geometry-optimized PrSc2Zn6 structure.

Geometry as POSCAR:
```
PrSc2Zn6
1.0
3.3059 0.0894 -0.1390
-0.3423 6.7275 -3.8166
0.3309 -0.0498 7.7353
Zn Pr Sc
6 1 2
direct
0.4997 0.3414 0.3415
0.5000 0.3414 0.0000
0.5003 0.9999 0.6585
0.5003 0.6586 0.6585
0.5000 0.6586 0.0000
0.4997 0.0001 0.3415
0.0000 0.0000 0.0000
0.9998 0.6666 0.3332
0.0002 0.3334 0.6668
```

Summary:
Its space group is No. 191. The total magnetic moment is 0.00 μB per formula unit. The total energy is -3.10 eV/atom. As for the formation energy from the elements: -30.5 kJ/mol of atoms. The value obtained for the density is 6.023 g/cm3.

---

(9)
The following is a DFT calculation (PBE) of a geometry-optimized Ba2Na2Ca15 structure.

Geometry as POSCAR:
```
Ba2Na2Ca15
1.0
9.5415 -0.3808 1.7869
1.4131 9.4440 1.7869
-0.4602 -0.3808 9.6965
Ca Ba Na
15 2 2
direct
0.0000 0.5000 0.0000
0.8423 0.3452 0.3452
0.0000 0.0000 0.5000
0.5000 0.0000 0.0000
0.1577 0.6548 0.6548
0.3452 0.3452 0.8423
0.3084 0.0000 0.6916
0.0000 0.6916 0.3084
0.3084 0.6916 0.0000
0.6916 0.3084 0.0000
0.0000 0.3084 0.6916
0.6916 0.0000 0.3084
0.3452 0.8423 0.3452
0.6548 0.1577 0.6548
0.6548 0.6548 0.1577
0.3303 0.3303 0.3303
0.6697 0.6697 0.6697
0.0920 0.0920 0.0920
0.9080 0.9080 0.9080
```

Summary:
Its space group is No. 166. The total magnetic moment is 0.00 μB per formula unit. The total energy is -1.83 eV/atom. As for the formation energy from the elements: 9.3 kJ/mol of atoms. The value obtained for the density is 1.715 g/cm3.

---

(10)
The following is a DFT calculation (PBE) of a geometry-optimized MnNiHg2 structure.

Geometry as POSCAR:
```
MnNiHg2
1.0
4.6069 0.0000 0.0000
2.3035 3.9897 0.0000
2.3035 1.3299 3.7615
Hg Mn Ni
2 1 1
direct
0.0000 0.0000 0.0000
0.2500 0.2500 0.2500
0.5000 0.5000 0.5000
0.7500 0.7500 0.7500
```

Summary:
Its space group is No. 216. The total magnetic moment is 4.22 μB per formula unit. The total energy is -3.54 eV/atom. As for the formation energy from the elements: 34.1 kJ/mol of atoms. The value obtained for the density is 12.364 g/cm3.

---

(11)
The following is a DFT calculation (PBE) of a geometry-optimized UI2O8 structure.

Geometry as POSCAR:
```
UI2O8
1.0
-5.4330 -10.2775 11.5863
3.9971 -0.6100 1.3332
1.8665 3.6996 4.1569
O U I
16 2 4
direct
0.0607 0.3325 0.7876
0.4393 0.3325 0.2876
0.6285 0.3379 0.2558
0.3715 0.6621 0.7442
0.7315 0.0361 0.0322
0.2685 0.9639 0.9678
0.9393 0.6675 0.2124
0.4369 0.0780 0.8837
0.5631 0.9220 0.1163
0.2315 0.9639 0.4678
0.0631 0.0780 0.3837
0.5607 0.6675 0.7124
0.1285 0.6621 0.2442
0.7685 0.0361 0.5322
0.9369 0.9220 0.6163
0.8715 0.3379 0.7558
0.0000 0.5000 0.5000
0.5000 0.5000 0.0000
0.1610 0.1023 0.2051
0.8390 0.8977 0.7949
0.6610 0.8977 0.2949
0.3390 0.1023 0.7051
```

Summary:
Its space group is No. 14. As for the uncorrected formation energy: -1.30 eV/atom. The total magnetic moment is 0.00 μB per formula unit. The total energy is -6.22 eV/atom. The value obtained for the density is 5.559 g/cm3.

---

(12)
The following is a DFT calculation (PBE) of a geometry-optimized ScGa4Co2Cu structure.

Geometry as POSCAR:
```
ScGa4Co2Cu
1.0
4.0898 0.0000 0.0000
2.0449 3.5418 0.0000
2.0449 1.1806 8.0938
Ga Co Cu Sc
4 2 1 1
direct
0.1275 0.1275 0.6174
0.6044 0.6044 0.1869
0.3956 0.3956 0.8131
0.8725 0.8725 0.3826
0.7644 0.7644 0.7068
0.2356 0.2356 0.2932
0.5000 0.5000 0.5000
0.0000 0.0000 0.0000
```

Summary:
Its space group is No. 166. The total magnetic moment is 0.35 μB per formula unit. The total energy is -4.84 eV/atom. As for the formation energy from the elements: -24.0 kJ/mol of atoms. The value obtained for the density is 7.156 g/cm3.

---

(13)
The following is a DFT calculation (PBE) of a geometry-optimized Pu4PH5 structure.

Geometry as POSCAR:
```
Pu4PH5
1.0
3.4707 0.0000 -0.9622
-0.6220 6.4514 -2.2436
-0.0857 0.9907 6.4315
Pu P H
4 1 5
direct
0.8678 0.1456 0.7357
0.1322 0.8544 0.2643
0.6415 0.3505 0.2829
0.3585 0.6495 0.7171
0.5000 0.0000 0.0000
0.7680 0.8093 0.5359
0.2320 0.1907 0.4641
0.8251 0.4532 0.6502
0.1749 0.5468 0.3498
0.5000 0.5000 0.0000
```

Summary:
Its space group is No. 12. The total magnetic moment is 0.02 μB per formula unit. The total energy is -8.29 eV/atom. The value obtained for the density is 11.072 g/cm3.

---

(14)
The following is a DFT calculation (PBE) of a geometry-optimized Tb2Nd7Ho structure.

Geometry as POSCAR:
```
Tb2Nd7Ho
1.0
-3.0410 -3.2795 -3.3789
2.0478 -7.4827 5.4196
-7.4945 5.6359 1.2750
Tb Nd Ho
2 7 1
direct
0.5000 0.2946 0.7054
0.5000 0.7054 0.2946
0.5000 0.0675 0.2910
0.5000 0.2910 0.0675
0.5000 0.5000 0.5000
0.5000 0.9325 0.7090
0.5000 0.7090 0.9325
0.0000 0.7849 0.2151
0.0000 0.2151 0.7849
0.0000 0.0000 0.0000
```

Summary:
Its space group is No. 65. The total magnetic moment is 0.00 μB per formula unit. The total energy is -4.08 eV/atom. As for the formation energy from the elements: 61.4 kJ/mol of atoms. The value obtained for the density is 5.984 g/cm3.

---

(15)
The following is a DFT calculation (PBE) of a geometry-optimized CaAsRuSe2 structure.

Geometry as POSCAR:
```
CaAsRuSe2
1.0
5.1719 0.0000 0.0000
0.0000 5.1719 0.0000
0.0000 0.0000 4.5563
Ru Ca Se As
1 1 2 1
direct
0.0000 0.0000 0.0000
0.5000 0.5000 0.5000
0.5000 0.0000 0.0000
0.0000 0.5000 0.0000
0.0000 0.0000 0.5000
```

Summary:
Its space group is No. 123. As for the uncorrected formation energy: -0.31 eV/atom. The total magnetic moment is 0.88 μB per formula unit. The total energy is -4.89 eV/atom. The value obtained for the density is 5.096 g/cm3.

---

(16)
The following is a DFT calculation (PBE) of a geometry-optimized Pr4OsSI2 structure.

Geometry as POSCAR:
```
Pr4OsSI2
1.0
-3.4695 -1.1121 2.0374
-3.4498 -1.3287 -6.5998
3.6042 -7.1228 2.2496
I Pr Os S
2 4 1 1
direct
0.5000 0.0000 0.5000
0.0000 0.5000 0.5000
0.0000 0.2857 0.8117
0.5000 0.2375 0.1867
0.5000 0.7625 0.8133
0.0000 0.7143 0.1883
0.5000 0.5000 0.0000
0.0000 0.0000 0.0000
```

Summary:
Its space group is No. 10. As for the uncorrected formation energy: -1.02 eV/atom. The total magnetic moment is 0.00 μB per formula unit. The total energy is -5.71 eV/atom. The value obtained for the density is 6.876 g/cm3.

---

(17)
The following is a DFT calculation (PBE) of a geometry-optimized CsHg3Au structure.

Geometry as POSCAR:
```
CsHg3Au
1.0
-6.3085 2.9099 2.5980
-6.5008 -9.1825 -5.5001
0.6159 -4.0469 6.0284
Cs Hg Au
4 12 4
direct
0.5000 0.0000 0.0000
0.0000 0.0000 0.5000
0.5000 0.5000 0.0000
0.0000 0.5000 0.5000
0.7263 0.7500 0.2151
0.2737 0.2500 0.7849
0.0161 0.8784 0.9722
0.2263 0.7500 0.2849
0.5161 0.8784 0.5278
0.5161 0.6216 0.5278
0.0161 0.6216 0.9722
0.4839 0.1216 0.4722
0.9839 0.1216 0.0278
0.4839 0.3784 0.4722
0.9839 0.3784 0.0278
0.7737 0.2500 0.7151
0.7327 0.7500 0.7860
0.2673 0.2500 0.2140
0.2327 0.7500 0.7140
0.7673 0.2500 0.2860
```

Summary:
Its space group is No. 62. The total magnetic moment is 0.00 μB per formula unit. The total energy is -1.19 eV/atom. As for the formation energy from the elements: -17.2 kJ/mol of atoms. The value obtained for the density is 9.143 g/cm3.

---

(18)
The following is a DFT calculation (PBE) of a geometry-optimized Na8B11C5 structure.

Geometry as POSCAR:
```
Na8B11C5
1.0
8.9647 0.3379 4.4319
7.3586 5.0745 1.4103
0.0373 -0.1099 5.8422
Na C B
8 5 11
direct
0.7493 0.7520 0.2480
0.4980 0.5007 0.4993
0.2483 0.2502 0.7498
0.9998 0.0017 0.9983
0.7485 0.7480 0.7517
0.2482 0.2483 0.2520
0.5020 0.5015 0.9982
0.0017 0.0018 0.4985
0.7942 0.4558 0.5442
0.7069 0.0442 0.9558
0.2943 0.9557 0.5425
0.2058 0.5431 0.4569
0.7925 0.4575 0.0443
0.5359 0.2141 0.2859
0.2961 0.9539 0.0461
0.4598 0.7902 0.6940
0.0558 0.6925 0.3075
0.9601 0.2899 0.7101
0.2002 0.5498 0.9502
0.4648 0.7852 0.2148
0.0359 0.7141 0.7859
0.7002 0.0498 0.4502
0.9440 0.3060 0.2098
0.5575 0.1942 0.8058
```

Summary:
Its space group is No. 42. The total magnetic moment is 0.00 μB per formula unit. The total energy is -5.29 eV/atom. As for the formation energy from the elements: 12.4 kJ/mol of atoms. The value obtained for the density is 2.428 g/cm3.

---

(19)
The following is a DFT calculation (PBE) of a geometry-optimized AlSnRu2 structure.

Geometry as POSCAR:
```
AlSnRu2
1.0
3.1242 0.0000 0.0000
0.0000 3.1242 0.0000
0.0000 0.0000 6.2100
Al Ru Sn
1 2 1
direct
0.5000 0.5000 0.0000
0.0000 0.0000 0.2386
0.0000 0.0000 0.7614
0.5000 0.5000 0.5000
```

Summary:
Its space group is No. 123. The total magnetic moment is 0.00 μB per formula unit. The total energy is -6.93 eV/atom. As for the formation energy from the elements: -34.6 kJ/mol of atoms. The value obtained for the density is 9.529 g/cm3.